Entry 1:
{
  "formula": "AcLa3In",
  "functional": "PBE-GGA",
  "state": "optimized geometry",
  "ef_ev_per_fu": -0.19,
  "e_tot_ha_per_atom": -0.16040,
  "m_tot_mub_per_cell": 0.0,
  "volume_a3_per_cell": 185,
  "lattice_angstrom": [[-1.0942, 3.9534, -2.9749], [-3.1395, -2.9248, -2.7266], [-7.5365, 2.2838, 1.4932]],
  "species": ["Ac", "La", "La", "La", "In"],
  "fractional_positions": [[0.4133, 0.2169, 0.8780], [0.6511, 0.9549, 0.4036], [0.1507, 0.4537, 0.4050], [0.7879, 0.5916, 0.1287], [0.0047, 0.8082, 0.6959]]
}


Entry 2:
{
  "formula": "La2SmBi",
  "functional": "PBE-GGA",
  "state": "optimized geometry",
  "ef_ev_per_fu": -1.92,
  "e_tot_ha_per_atom": -0.18715,
  "m_tot_mub_per_cell": 0.0,
  "volume_a3_per_cell": 127,
  "lattice_angstrom": [[5.0974, 0.0000, 0.0000], [0.0000, 4.9955, 0.0000], [0.0000, 0.0000, 4.9955]],
  "species": ["Bi", "Sm", "La", "La"],
  "fractional_positions": [[0.5000, 0.0000, 0.0000], [0.5000, 0.5000, 0.5000], [0.0000, 0.0000, 0.5000], [0.0000, 0.5000, 0.0000]]
}


Entry 3:
{
  "formula": "BaZrNi2",
  "functional": "PBE-GGA",
  "state": "optimized geometry",
  "ef_ev_per_fu": -0.02,
  "e_tot_ha_per_atom": -0.20262,
  "m_tot_mub_per_cell": 0.0,
  "volume_a3_per_cell": 99,
  "lattice_angstrom": [[-1.8598, -3.3434, 2.1915], [2.3494, -2.2776, 2.9551], [-1.5412, 1.8487, 5.9157]],
  "species": ["Ba", "Ni", "Ni", "Zr"],
  "fractional_positions": [[0.2500, 0.2500, 0.2500], [0.0553, 0.0553, 0.8344], [0.4447, 0.4447, 0.6656], [0.7500, 0.7500, 0.7500]]
}


Entry 4:
{
  "formula": "InCoAu2",
  "functional": "PBE-GGA",
  "state": "optimized geometry",
  "ef_ev_per_fu": 1.09,
  "e_tot_ha_per_atom": -0.14069,
  "m_tot_mub_per_cell": 2.4,
  "volume_a3_per_cell": 149,
  "lattice_angstrom": [[3.8963, 0.0000, 0.0000], [0.0000, 3.8963, 0.0000], [1.9482, 1.9482, 9.7935]],
  "species": ["Co", "Co", "Au", "Au", "Au", "Au", "In", "In"],
  "fractional_positions": [[0.5000, 0.5000, 0.0000], [0.2500, 0.7500, 0.5000], [0.6173, 0.1250, 0.2500], [0.1327, 0.6250, 0.2500], [0.3750, 0.3827, 0.7500], [0.8750, 0.8673, 0.7500], [0.0000, 0.0000, 0.0000], [0.7500, 0.2500, 0.5000]]
}


Entry 5:
{
  "formula": "GdTmAlFe",
  "functional": "PBE-GGA",
  "state": "optimized geometry",
  "ef_ev_per_fu": -0.34,
  "e_tot_ha_per_atom": -0.28575,
  "m_tot_mub_per_cell": 5.7,
  "volume_a3_per_cell": 86,
  "lattice_angstrom": [[-2.3835, 0.6322, 4.3020], [1.9832, -1.7154, 4.2086], [1.7756, 3.1684, 3.3759]],
  "species": ["Gd", "Tm", "Fe", "Al"],
  "fractional_positions": [[0.0000, 0.0000, 0.0000], [0.5000, 0.5000, 0.5000], [0.7500, 0.7500, 0.7500], [0.2500, 0.2500, 0.2500]]
}


Entry 6:
{
  "formula": "Er4Al16Ir3",
  "functional": "PBE-GGA",
  "state": "optimized geometry",
  "ef_ev_per_fu": -14.64,
  "e_tot_ha_per_atom": -0.19071,
  "m_tot_mub_per_cell": 0.0,
  "volume_a3_per_cell": 421,
  "lattice_angstrom": [[6.1234, 0.0000, 0.0000], [0.0000, 6.1234, 0.0000], [0.0000, 0.0000, 11.2205]],
  "species": ["Er", "Er", "Er", "Er", "Al", "Al", "Al", "Al", "Al", "Al", "Al", "Al", "Al", "Al", "Al", "Al", "Al", "Al", "Al", "Al", "Ir", "Ir", "Ir"],
  "fractional_positions": [[0.5000, 0.0000, 0.8082], [0.0000, 0.5000, 0.1918], [0.0000, 0.5000, 0.8082], [0.5000, 0.0000, 0.1918], [0.0000, 0.0000, 0.7791], [0.2841, 0.2841, 0.0000], [0.5000, 0.5000, 0.8061], [0.7159, 0.2841, 0.0000], [0.5000, 0.5000, 0.1939], [0.7159, 0.7159, 0.0000], [0.0000, 0.0000, 0.2209], [0.7510, 0.7510, 0.6194], [0.7510, 0.2490, 0.3806], [0.2490, 0.2490, 0.6194], [0.2490, 0.7510, 0.3806], [0.2841, 0.7159, 0.0000], [0.7510, 0.7510, 0.3806], [0.7510, 0.2490, 0.6194], [0.2490, 0.2490, 0.3806], [0.2490, 0.7510, 0.6194], [0.0000, 0.5000, 0.5000], [0.0000, 0.0000, 0.0000], [0.5000, 0.0000, 0.5000]]
}


Entry 7:
{
  "formula": "Tb3Pr4Nd2",
  "functional": "PBE-GGA",
  "state": "optimized geometry",
  "ef_ev_per_fu": 0.44,
  "e_tot_ha_per_atom": -0.17191,
  "m_tot_mub_per_cell": 0.0,
  "volume_a3_per_cell": 311,
  "lattice_angstrom": [[3.4794, 0.0000, -0.9011], [0.0484, 9.9524, 0.1868], [0.4443, 1.3589, 8.8840]],
  "species": ["Tb", "Tb", "Tb", "Pr", "Pr", "Pr", "Pr", "Nd", "Nd"],
  "fractional_positions": [[0.1624, 0.4563, 0.3249], [0.8376, 0.5437, 0.6751], [0.0000, 0.0000, 0.0000], [0.4997, 0.6684, 0.9995], [0.3352, 0.2203, 0.6704], [0.5003, 0.3316, 0.0005], [0.6648, 0.7797, 0.3296], [0.6733, 0.1213, 0.3467], [0.3267, 0.8787, 0.6533]]
}


Entry 8:
{
  "formula": "GaS2F",
  "functional": "PBE-GGA",
  "state": "optimized geometry",
  "e_tot_ha_per_atom": -0.11236,
  "m_tot_mub_per_cell": 0.0,
  "formation_energy_uncorrected_ev_per_atom": 0.23,
  "volume_a3_per_cell": 59,
  "lattice_angstrom": [[1.6011, 0.0000, 8.7968], [-0.8006, 1.3866, 8.7968], [-0.8006, -1.3866, 8.7968]],
  "species": ["S", "S", "Ga", "F"],
  "fractional_positions": [[0.9084, 0.9084, 0.9084], [0.0916, 0.0916, 0.0916], [0.0000, 0.0000, 0.0000], [0.5000, 0.5000, 0.5000]]
}


Entry 9:
{
  "formula": "Al2VRe2",
  "functional": "PBE-GGA",
  "state": "optimized geometry",
  "ef_ev_per_fu": 0.34,
  "e_tot_ha_per_atom": -0.30250,
  "m_tot_mub_per_cell": 2.0,
  "volume_a3_per_cell": 146,
  "lattice_angstrom": [[6.7633, 0.0000, 0.0000], [0.0000, 6.7633, 0.0000], [0.0000, 0.0000, 3.1954]],
  "species": ["Re", "Re", "Re", "Re", "Al", "Al", "Al", "Al", "V", "V"],
  "fractional_positions": [[0.1657, 0.6657, 0.5000], [0.6657, 0.8343, 0.5000], [0.8343, 0.3343, 0.5000], [0.3343, 0.1657, 0.5000], [0.3674, 0.8674, 0.0000], [0.8674, 0.6326, 0.0000], [0.6326, 0.1326, 0.0000], [0.1326, 0.3674, 0.0000], [0.0000, 0.0000, 0.0000], [0.5000, 0.5000, 0.0000]]
}


Entry 10:
{
  "formula": "CaHf2Pb2",
  "functional": "PBE-GGA",
  "state": "optimized geometry",
  "ef_ev_per_fu": 0.39,
  "e_tot_ha_per_atom": -0.21265,
  "m_tot_mub_per_cell": 1.0,
  "volume_a3_per_cell": 261,
  "lattice_angstrom": [[-5.5877, -6.1294, 3.0646], [-0.1596, -3.8368, -7.9648], [2.5880, -1.9222, 0.8741]],
  "species": ["Pb", "Pb", "Pb", "Pb", "Ca", "Ca", "Hf", "Hf", "Hf", "Hf"],
  "fractional_positions": [[0.1753, 0.6753, 0.5000], [0.6753, 0.8247, 0.5000], [0.8247, 0.3247, 0.5000], [0.3247, 0.1753, 0.5000], [0.0000, 0.0000, 0.0000], [0.5000, 0.5000, 0.0000], [0.3813, 0.8813, 0.0000], [0.8813, 0.6187, 0.0000], [0.6187, 0.1187, 0.0000], [0.1187, 0.3813, 0.0000]]
}


Entry 11:
{
  "formula": "TaV6Re2",
  "functional": "PBE-GGA",
  "state": "optimized geometry",
  "ef_ev_per_fu": 1.42,
  "e_tot_ha_per_atom": -0.36766,
  "m_tot_mub_per_cell": 0.0,
  "volume_a3_per_cell": 133,
  "lattice_angstrom": [[6.6403, 0.9008, 0.5213], [1.0003, 4.8595, -0.0607], [1.0003, 2.3685, 4.2436]],
  "species": ["Ta", "V", "V", "V", "V", "V", "V", "Re", "Re"],
  "fractional_positions": [[0.0000, 0.0000, 0.0000], [0.2998, 0.3194, 0.7993], [0.4685, 0.7562, 0.7562], [0.2998, 0.7993, 0.3194], [0.7002, 0.6806, 0.2007], [0.5315, 0.2438, 0.2438], [0.7002, 0.2007, 0.6806], [0.8796, 0.6765, 0.6765], [0.1204, 0.3235, 0.3235]]
}


Entry 12:
{
  "formula": "YP2Pd7",
  "functional": "PBE-GGA",
  "state": "optimized geometry",
  "ef_ev_per_fu": -6.50,
  "e_tot_ha_per_atom": -0.22097,
  "m_tot_mub_per_cell": 0.0,
  "volume_a3_per_cell": 164,
  "lattice_angstrom": [[3.9768, 0.0000, -0.7652], [-0.1472, 3.9741, -0.7652], [-0.0651, -0.0676, 10.3778]],
  "species": ["Y", "P", "P", "Pd", "Pd", "Pd", "Pd", "Pd", "Pd", "Pd"],
  "fractional_positions": [[0.0000, 0.0000, 0.0000], [0.6752, 0.6752, 0.3503], [0.3248, 0.3248, 0.6497], [0.1087, 0.6087, 0.2173], [0.3913, 0.8913, 0.7827], [0.6087, 0.1087, 0.2173], [0.5000, 0.5000, 0.0000], [0.7500, 0.2500, 0.5000], [0.8913, 0.3913, 0.7827], [0.2500, 0.7500, 0.5000]]
}


Which formula does entry 6 have?
Er4Al16Ir3